# 1
Entry from the Alexandria database: a geometry-optimized Li2VSnP2O8 structure (GGA+U).

Calculated values
Space group   P2_1/m
V   349.0 Å³/cell
Total magnetization   3.00 μB per formula unit

Geometry as POSCAR:
```
Li2VSnP2O8
1.0
4.864 0.000 0.004
0.000 6.381 0.000
-0.081 0.000 11.246
O V P Li Sn
16 2 4 4 2
direct
0.338 0.250 0.871
0.662 0.750 0.129
0.222 0.553 0.639
0.797 0.250 0.554
0.222 0.947 0.639
0.773 0.750 0.583
0.227 0.250 0.417
0.778 0.447 0.361
0.797 0.056 0.827
0.778 0.053 0.361
0.203 0.556 0.173
0.203 0.750 0.446
0.797 0.444 0.827
0.748 0.250 0.020
0.252 0.750 0.980
0.203 0.944 0.173
0.061 0.250 0.711
0.939 0.750 0.289
0.090 0.750 0.575
0.910 0.250 0.425
0.651 0.250 0.888
0.349 0.750 0.112
0.500 0.500 0.500
0.000 0.000 0.000
0.500 0.000 0.500
0.000 0.500 0.000
0.528 0.750 0.775
0.472 0.250 0.225
```

***

# 2
Entry from the Alexandria database: a geometry-optimized LiVSn3P6O24 structure (GGA+U).

Calculated values
Space group   R3
V   472.9 Å³/cell
Total magnetization   0.00 μB per formula unit

Geometry as POSCAR:
```
LiVSn3P6O24
1.0
8.943 0.109 0.076
4.755 7.574 0.076
4.755 2.667 7.089
P O Sn Li V
6 24 3 1 1
direct
0.537 0.965 0.249
0.249 0.537 0.965
0.761 0.454 0.032
0.032 0.761 0.454
0.965 0.249 0.537
0.454 0.032 0.761
0.450 0.505 0.816
0.110 0.734 0.889
0.911 0.254 0.099
0.734 0.889 0.110
0.816 0.450 0.505
0.603 0.003 0.818
0.151 0.232 0.525
0.505 0.816 0.450
0.889 0.110 0.734
0.468 0.846 0.774
0.846 0.774 0.468
0.818 0.603 0.003
0.254 0.099 0.911
0.774 0.468 0.846
0.099 0.911 0.254
0.191 0.374 0.010
0.187 0.564 0.469
0.374 0.010 0.191
0.469 0.187 0.564
0.232 0.525 0.151
0.003 0.818 0.603
0.525 0.151 0.232
0.564 0.469 0.187
0.010 0.191 0.374
0.355 0.355 0.355
0.855 0.855 0.855
0.644 0.644 0.644
0.020 0.020 0.020
0.147 0.147 0.147
```

***

no.,raw total energy (eV/atom)
1,-6.7828
2,-6.9645